A plane-wave DFT calculation with GGA-PBE was carried out for a relaxed GaP crystal.

The space group is P4/mmm (No. 123) and the conventional cell measures 2.579, 2.579 and 5.248 Å, with angles of 90.00, 90.00 and 90.00 degrees. The asymmetric unit holds Ga at (0.000, 0.000, 0.000) and P at (0.000, 0.000, 0.500).

The value obtained for the calculated volume is 17.458 Å³/atom. Its formation energy is 202 meV/atom. The calculation puts the total energy at -8.03 eV/cell.